(1)
A relaxed structure of Sm6Dy3Tm2Pu. Source: Alexandria, functional PBE-GGA.

```
Sm6Dy3Tm2Pu
1.0
6.187 -0.002 -0.006
-3.094 5.358 -0.006
-1.020 -1.766 11.560
Sm Dy Tm Pu
6 3 2 1
Cartesian
3.092 1.818 8.692 Sm
2.075 3.593 2.846 Sm
-1.019 1.772 2.855 Sm
0.029 3.587 8.692 Sm
-0.002 -0.003 8.701 Sm
2.044 0.003 2.855 Sm
-2.055 3.581 5.774 Dy
4.129 0.009 5.774 Dy
1.037 1.795 5.774 Dy
0.001 3.571 -0.006 Tm
3.093 1.786 -0.006 Tm
0.000 0.000 0.000 Pu
```

ΔH_f (0 K) ... 0.044 eV/atom
Fermi-level density of states ... 1.861 states/eV per atom

(2)
A relaxed structure of Sm2Dy2Y6Pu. Source: Alexandria, functional PBE-GGA.

```
Sm2Dy2Y6Pu
1.0
-4.751 2.083 -4.241
-0.583 -3.650 5.589
4.193 10.207 4.174
Sm Dy Y Pu
2 2 6 1
Cartesian
-4.194 1.317 -2.928 Sm
-1.140 -2.884 4.275 Sm
0.293 3.133 4.796 Dy
-1.433 5.507 0.726 Dy
-0.798 6.056 3.870 Y
2.392 6.743 5.157 Y
-0.342 2.584 1.652 Y
1.143 8.461 2.211 Y
-3.532 1.897 0.365 Y
-2.283 0.179 3.311 Y
2.096 5.103 2.087 Pu
```

ΔH_f (0 K) ... 0.186 eV/atom
Fermi-level density of states ... 1.920 states/eV per atom

(3)
A relaxed structure of SmDyYPu. Source: Alexandria, functional PBE-GGA.

```
SmDyYPu
1.0
5.625 0.000 0.000
2.812 4.871 0.000
2.812 1.624 4.592
Y Dy Sm Pu
1 1 1 1
Cartesian
2.812 1.624 1.148 Y
5.625 3.247 2.296 Dy
0.000 0.000 0.000 Sm
8.437 4.871 3.444 Pu
```

ΔH_f (0 K) ... 0.206 eV/atom
Fermi-level density of states ... 2.736 states/eV per atom

(4)
A relaxed structure of Sm3Dy2Y6Pu. Source: Alexandria, functional PBE-GGA.

```
Sm3Dy2Y6Pu
1.0
6.184 -0.002 -0.012
-3.092 5.355 -0.012
-1.010 -1.749 11.595
Sm Dy Y Pu
3 2 6 1
Cartesian
-2.047 3.585 5.786 Sm
4.128 0.019 5.786 Sm
1.041 1.802 5.786 Sm
0.001 3.569 -0.012 Dy
3.091 1.784 -0.012 Dy
3.095 1.832 8.724 Y
2.078 3.598 2.837 Y
-1.014 1.772 2.847 Y
0.040 3.597 8.724 Y
0.004 0.007 8.735 Y
2.041 0.007 2.847 Y
0.000 0.000 0.000 Pu
```

ΔH_f (0 K) ... 0.046 eV/atom
Fermi-level density of states ... 1.987 states/eV per atom

Calculated magnetization in order - 6.7, 7.0, 7.4, 6.5 μB/cell
Calculated energy in order - -5.4058, -6.3372, -7.3236, -6.3274 eV/atom